VASP calculation (GGA-PBE) on a geometry-optimized Al3Sb structure.

Energy relative to the elements, uncorrected   0.189 eV per atom

The structure in POSCAR format:
```
Al3Sb
1.0
4.613 0.266 0.000
-0.984 4.515 0.000
0.000 0.000 3.821
Sb Al
1 3
Cartesian
0.000 0.000 0.000
-0.492 2.258 1.910
2.307 0.133 1.910
1.815 2.390 0.000
```

VASP calculation (GGA-PBE) on a geometry-optimized BaLa2InRh structure.

Energy relative to the lowest polymorph listed for this composition   0.000 kcal/mol of atoms
Formation energy from the elements   -385 meV per atom

The structure in POSCAR format:
```
BaLa2InRh
1.0
-5.018 -1.735 1.740
0.343 -4.413 -3.410
2.385 -2.898 3.990
La Ba Rh In
2 1 1 1
Cartesian
0.172 -2.206 -1.705
-2.509 -0.867 0.870
-1.145 -4.523 1.160
0.000 0.000 0.000
1.193 -1.449 1.995
```

VASP calculation (GGA-PBE) on a geometry-optimized GdTlNiPd structure.

Formation energy from the elements   -374 meV per atom

The structure in POSCAR format:
```
GdTlNiPd
1.0
4.789 0.000 0.000
2.395 4.148 0.000
2.395 1.383 3.911
Gd Ni Tl Pd
1 1 1 1
Cartesian
0.000 0.000 0.000
2.395 1.383 0.978
4.789 2.765 1.955
7.184 4.148 2.933
```

VASP calculation (GGA-PBE) on a geometry-optimized LuSc2Ga structure.

Energy relative to the lowest polymorph listed for this composition   9.862 kcal/mol of atoms
Formation energy from the elements   139 meV per atom

The structure in POSCAR format:
```
LuSc2Ga
1.0
3.283 0.000 0.000
1.641 2.843 0.000
1.641 0.948 11.010
Sc Lu Ga
2 1 1
Cartesian
4.924 2.843 2.824
1.641 0.948 8.186
3.283 1.895 5.505
0.000 0.000 0.000
```

VASP calculation (GGA-PBE) on a geometry-optimized MoSe3 structure.

Energy relative to the elements, uncorrected   -0.090 eV per atom

The structure in POSCAR format:
```
MoSe3
1.0
-2.465 0.157 1.711
0.746 -2.597 1.313
5.183 5.031 7.006
Se Mo
3 1
Cartesian
2.591 2.516 3.503
3.503 3.014 7.409
-0.039 -0.424 2.621
0.000 0.000 0.000
```

VASP calculation (GGA-PBE) on a geometry-optimized BaErSb2 structure.

Energy relative to the lowest polymorph listed for this composition   0.770 kcal/mol of atoms
Energy relative to the elements, uncorrected   -0.887 eV per atom

The structure in POSCAR format:
```
BaErSb2
1.0
4.507 0.000 0.000
2.253 3.903 0.000
2.253 1.301 8.208
Er Sb Ba
1 2 1
Cartesian
6.760 3.903 8.157
2.253 1.301 1.705
2.253 1.301 6.493
4.507 2.602 4.165
```

VASP calculation (GGA-PBE) on a geometry-optimized Li2BePd8 structure.

Formation energy from the elements   -135 meV per atom

The structure in POSCAR format:
```
Li2BePd8
1.0
4.747 0.712 0.592
0.988 6.799 2.124
0.988 3.331 6.296
Pd Be Li
8 1 2
Cartesian
2.187 5.038 5.885
4.535 5.804 3.127
2.187 6.707 3.877
4.535 4.135 5.134
2.240 3.937 3.273
4.482 6.904 5.739
1.857 7.720 6.417
4.866 3.121 2.594
0.000 0.000 0.000
2.788 1.968 1.636
3.935 8.873 7.375
```

VASP calculation (GGA-PBE) on a geometry-optimized Ti3CdN structure.

Energy relative to the elements, uncorrected   -0.728 eV per atom

The structure in POSCAR format:
```
Ti3CdN
1.0
-1.248 1.027 -3.969
2.859 -8.202 -0.706
-3.523 -2.391 0.491
N Ti Cd
2 6 2
Cartesian
-0.079 -2.061 -2.391
-1.217 -3.769 -0.160
0.545 -2.575 -0.406
-1.062 -0.463 -1.668
-0.233 -5.367 -0.883
-2.619 -6.049 -2.622
-3.448 -1.145 -3.407
-1.840 -3.257 -2.145
-0.980 -8.211 -1.383
0.158 -6.503 -3.613
```